# 1
The following is a DFT calculation (SCAN) of a crystal of CsRbCl2 relaxed with PBEsol.

```
16
Lattice="7.977 0.000 0.000 0.000 7.977 0.000 0.000 0.000 7.977" Properties=species:S:1:pos:R:3 pbc="T T T"
Cs 0.000 0.000 0.000
Cs 0.000 3.988 3.988
Cs 3.988 0.000 3.988
Cs 3.988 3.988 0.000
Rb 0.000 0.000 3.988
Rb 0.000 3.988 0.000
Rb 3.988 0.000 0.000
Rb 3.988 3.988 3.988
Cl 1.994 1.994 1.994
Cl 1.994 1.994 5.983
Cl 1.994 5.983 1.994
Cl 1.994 5.983 5.983
Cl 5.983 1.994 1.994
Cl 5.983 1.994 5.983
Cl 5.983 5.983 1.994
Cl 5.983 5.983 5.983
```

Properties
* uncorrected formation energy: -2.16 eV per atom
* volume: 507.6 Å³ per cell
* distance to the lowest polymorph of the same formula: 0 meV per atom
* space-group type: Fm-3m

***

# 2
The following is a DFT calculation (SCAN) of a crystal of La3ReNi relaxed with PBEsol.

```
5
Lattice="5.402 0.000 0.000 0.000 5.402 0.000 0.000 0.000 5.402" Properties=species:S:1:pos:R:3 pbc="T T T"
La 0.000 0.000 2.701
La 0.000 2.701 0.000
La 2.701 0.000 0.000
Re 0.000 0.000 0.000
Ni 2.701 2.701 2.701
```

Properties
* volume: 157.6 Å³ per cell
* energy of formation from the pure elements: 0.4884 eV per atom
* space-group type: Pm-3m

***

# 3
The following is a DFT calculation (SCAN) of a crystal of Nb4FeSe8 relaxed with PBEsol.

```
26
Lattice="6.844 0.000 0.000 -3.422 5.927 0.000 0.000 0.000 12.049" Properties=species:S:1:pos:R:3 pbc="T T T"
Nb 0.000 0.000 3.012
Nb 0.000 0.000 9.037
Nb -1.622 3.015 3.012
Nb 1.622 3.015 3.012
Nb 0.000 5.824 3.012
Nb 3.422 0.103 9.037
Nb 1.800 2.912 9.037
Nb 5.044 2.912 9.037
Fe 0.000 0.000 0.000
Fe 0.000 0.000 6.024
Se 0.000 1.972 7.377
Se 0.000 1.972 10.696
Se -1.714 4.941 7.377
Se -1.714 4.941 10.696
Se 1.708 0.986 1.353
Se 1.708 0.986 4.672
Se 0.000 3.951 1.263
Se 0.000 3.951 4.762
Se 3.422 1.976 7.287
Se 3.422 1.976 10.786
Se 1.714 4.941 7.377
Se 1.714 4.941 10.696
Se 5.136 0.986 1.353
Se 5.136 0.986 4.672
Se 3.422 3.955 1.353
Se 3.422 3.955 4.672
```

Properties
* uncorrected formation energy: -0.86 eV per atom
* volume: 488.7 Å³ per cell
* space-group type: P6_3/mmc

***

# 4
The following is a DFT calculation (SCAN) of a crystal of ZnAsAu2 relaxed with PBEsol.

```
4
Lattice="2.870 0.000 0.000 0.000 2.870 0.000 0.000 0.000 8.086" Properties=species:S:1:pos:R:3 pbc="T T T"
Zn 0.000 0.000 0.000
As 0.000 0.000 4.043
Au 1.435 1.435 1.814
Au 1.435 1.435 6.272
```

Properties
* volume: 66.6 Å³ per cell
* energy of formation from the pure elements: 0.0022 eV per atom
* distance to the lowest polymorph of the same formula: 0 meV per atom
* space-group type: P4/mmm